A relaxed structure of Cs3SrZr, computed with PBE.

Structure (CIF):
```
data_Cs3SrZr
_space_group_name_H-M_alt 'P 1'
_space_group_IT_number 1
_space_group_name_Hall 'P 1'
_cell_length_a 7.054
_cell_length_b 7.054
_cell_length_c 7.054
_cell_angle_alpha 90.00
_cell_angle_beta 90.00
_cell_angle_gamma 90.00
loop_
_atom_site_label
_atom_site_fract_x
_atom_site_fract_y
_atom_site_fract_z
Cs1 0.000 0.500 0.000
Cs2 0.000 0.000 0.500
Cs3 0.500 0.000 0.000
Sr1 0.500 0.500 0.500
Zr1 0.000 0.000 0.000
```

Computed properties:
- DFT formation energy (eV per atom) = 1.01
- ρ (g/cm³) = 2.732
- space-group type = No. 221